[1]
The following is a DFT calculation (GGA-PBE) of a geometry-optimized Ba2PSe structure.

Values from the calculation:
polymorph energy (0 for the lowest one): 0.288 eV/atom
total magnetic moment: 4.00 Bohr magnetons per cell
DOS at the Fermi energy: 2.60 states/eV/f.u.

Lattice parameters (Å, degrees): 7.1077 7.1077 15.4113 90.00 90.00 90.00
Space group I-42d (No. 122)
Symmetry-distinct sites (fractional):
1 Ba 0.2447 0.2500 0.1250 (multiplicity 8)
2 P 0.0000 0.0000 0.0000 (multiplicity 4)
3 Se 0.0000 0.0000 0.5000 (multiplicity 4)

[2]
The following is a DFT calculation (GGA-PBE) of a geometry-optimized NiTe2I structure.

Values from the calculation:
total magnetic moment: 0.00 Bohr magnetons per cell
DOS at the Fermi energy: 2.21 states/eV/f.u.
final energy: -3.500 eV/atom

Lattice parameters (Å, degrees): 3.8430 7.8630 8.4293 65.45 76.95 75.88
Space group P-1 (No. 2)
Symmetry-distinct sites (fractional):
1 Ni 0.1855 0.1274 0.0018 (multiplicity 2)
2 Te 0.3707 0.9859 0.7700 (multiplicity 2)
3 Te 0.3818 0.6331 0.1044 (multiplicity 2)
4 I 0.1207 0.7045 0.5547 (multiplicity 2)

[3]
The following is a DFT calculation (GGA-PBE) of a geometry-optimized Np3Tl5Se12 structure.

Values from the calculation:
total magnetic moment: 86.21 Bohr magnetons per cell
DOS at the Fermi energy: 30.88 states/eV/f.u.
final energy: -5.102 eV/atom

Lattice parameters (Å, degrees): 16.8126 16.8126 16.8126 90.00 90.00 90.00
Space group Ia-3d (No. 230)
Symmetry-distinct sites (fractional):
1 Np 0.0000 0.2500 0.1250 (multiplicity 24)
2 Tl 0.0000 0.0000 0.0000 (multiplicity 16)
3 Tl 0.0000 0.2500 0.3750 (multiplicity 24)
4 Se 0.0153 0.0716 0.6565 (multiplicity 96)

[4]
The following is a DFT calculation (GGA-PBE) of a geometry-optimized Ce2Sm3ThS6 structure.

Values from the calculation:
total magnetic moment: 3.20 Bohr magnetons per cell
DOS at the Fermi energy: 13.63 states/eV/f.u.
final energy: -6.849 eV/atom

Lattice parameters (Å, degrees): 17.5537 4.0150 8.0541 90.00 103.81 90.00
Space group C2/m (No. 12)
Symmetry-distinct sites (fractional):
1 Ce 0.1664 0.0000 0.3328 (multiplicity 4)
2 Sm 0.0000 0.5000 0.5000 (multiplicity 2)
3 Sm 0.1662 0.0000 0.8330 (multiplicity 4)
4 Th 0.0000 0.5000 0.0000 (multiplicity 2)
5 S 0.0007 0.0000 0.7471 (multiplicity 4)
6 S 0.1665 0.5000 0.5843 (multiplicity 4)
7 S 0.1679 0.5000 0.0821 (multiplicity 4)

[5]
The following is a DFT calculation (GGA-PBE) of a geometry-optimized La2BeCd structure.

Values from the calculation:
polymorph energy (0 for the lowest one): 0.213 eV/atom
total magnetic moment: 0.00 Bohr magnetons per cell
DFT formation energy: 143 meV/atom
DOS at the Fermi energy: 4.34 states/eV/f.u.

Lattice parameters (Å, degrees): 3.3498 3.3498 9.0443 90.00 90.00 90.00
Space group P4mm (No. 99)
Symmetry-distinct sites (fractional):
1 La 0.0000 0.0000 0.0000 (multiplicity 1)
2 La 0.5000 0.5000 0.3481 (multiplicity 1)
3 Be 0.0000 0.0000 0.5760 (multiplicity 1)
4 Cd 0.5000 0.5000 0.7252 (multiplicity 1)

[6]
The following is a DFT calculation (GGA-PBE) of a geometry-optimized PrSmEr3Tm structure.

Values from the calculation:
total magnetic moment: 0.00 Bohr magnetons per cell
DFT formation energy: 222 meV/atom
DOS at the Fermi energy: 8.41 states/eV/f.u.

Lattice parameters (Å, degrees): 19.6256 5.5833 7.1129 90.00 90.02 90.00
Space group C2/m (No. 12)
Symmetry-distinct sites (fractional):
1 Pr 0.1438 0.0000 0.4646 (multiplicity 4)
2 Sm 0.1495 0.0000 0.0456 (multiplicity 4)
3 Er 0.0243 0.0000 0.7654 (multiplicity 4)
4 Er 0.1622 0.5000 0.7655 (multiplicity 4)
5 Er 0.2221 0.5000 0.2577 (multiplicity 4)
6 Tm 0.0555 0.5000 0.2204 (multiplicity 4)

[7]
The following is a DFT calculation (GGA-PBE) of a geometry-optimized Mn2BeNi2 structure.

Values from the calculation:
polymorph energy (0 for the lowest one): 0.159 eV/atom
total magnetic moment: 2.52 Bohr magnetons per cell
DFT formation energy: 454 meV/atom
DOS at the Fermi energy: 3.60 states/eV/f.u.

Lattice parameters (Å, degrees): 3.3184 3.3184 10.6358 90.00 90.00 90.00
Space group I4/mmm (No. 139)
Symmetry-distinct sites (fractional):
1 Mn 0.0000 0.0000 0.0911 (multiplicity 4)
2 Be 0.0000 0.0000 0.5000 (multiplicity 2)
3 Ni 0.0000 0.5000 0.2500 (multiplicity 4)

[8]
The following is a DFT calculation (GGA-PBE) of a geometry-optimized ErInPt structure.

Values from the calculation:
total magnetic moment: 0.00 Bohr magnetons per cell
DFT formation energy: -1006 meV/atom
DOS at the Fermi energy: 2.47 states/eV/f.u.

Lattice parameters (Å, degrees): 7.6822 7.6822 3.8008 90.00 90.00 120.00
Space group P-62m (No. 189)
Symmetry-distinct sites (fractional):
1 Er 0.0000 0.5960 0.0000 (multiplicity 3)
2 In 0.0000 0.2633 0.5000 (multiplicity 3)
3 Pt 0.0000 0.0000 0.0000 (multiplicity 1)
4 Pt 0.3333 0.6667 0.5000 (multiplicity 2)